Compound: NdScCu2Se4
Source: Alexandria via LeMat-Bulk
Functional: GGA-PBE
Structure: relaxed

Cell: 6.662 6.259 6.259 Å, 67.87 57.84 57.84°
Fractional coordinates of all 8 atoms:
Sc 0.500 0.500 0.500
Cu 0.843 0.657 0.657
Nd 0.000 0.000 0.000
Se 0.912 0.529 0.100
Se 0.458 0.100 0.529
Se 0.088 0.900 0.471
Se 0.542 0.471 0.900
Cu 0.157 0.343 0.343

Computed properties:
The value obtained for the formation energy from raw total energies is -1006.8 meV/atom. The value obtained for the density is 5.66 Mg/m³.

---

Compound: Pr5SmDy
Source: Alexandria via LeMat-Bulk
Functional: GGA-PBE
Structure: relaxed

Cell: 5.965 8.112 8.112 Å, 66.20 68.44 68.44°
Fractional coordinates of all 7 atoms:
Dy 0.500 0.500 0.500
Pr 0.751 0.249 0.249
Pr 0.249 0.751 0.751
Pr 0.500 0.000 0.000
Sm 0.000 0.000 0.000
Pr 0.000 0.676 0.324
Pr 0.000 0.324 0.676

Computed properties:
The value obtained for the density is 5.23 Mg/m³. Its formation enthalpy at 0 K is 0.944 eV per atom.

---

Compound: Pa2NbTe
Source: Alexandria via LeMat-Bulk
Functional: GGA-PBE
Structure: relaxed

Cell: 3.886 3.886 6.338 Å, 90.00 90.00 90.00°
Fractional coordinates of all 4 atoms:
Pa 0.000 0.000 0.752
Pa 0.000 0.000 0.248
Nb 0.500 0.500 0.000
Te 0.500 0.500 0.500

Computed properties:
The value obtained for the formation energy from raw total energies is -149.4 meV/atom. For the energy relative to the lowest polymorph listed for this composition, the calculation gives 0 meV per atom. The value obtained for the density is 11.84 Mg/m³.

---

Compound: Ga12Bi5Sb3
Source: Alexandria via LeMat-Bulk
Functional: GGA-PBE
Structure: relaxed

Cell: 14.581 14.581 14.581 Å, 109.47 109.47 109.47°
Fractional coordinates of all 80 atoms:
Bi 0.250 0.375 0.625
Ga 0.348 0.419 0.082
Ga 0.082 0.919 0.348
Bi 0.125 0.375 0.250
Bi 0.500 0.000 0.500
Ga 0.429 0.766 0.848
Bi 0.000 0.000 0.500
Ga 0.071 0.419 0.837
Ga 0.581 0.929 0.663
Ga 0.418 0.266 0.337
Bi 0.625 0.875 0.250
Ga 0.234 0.571 0.652
Sb 0.750 0.375 0.125
Ga 0.419 0.348 0.582
Ga 0.848 0.582 0.919
Ga 0.663 0.234 0.582
Bi 0.000 0.500 0.500
Ga 0.337 0.571 0.419
Ga 0.266 0.848 0.929
Ga 0.419 0.071 0.337
Sb 0.250 0.625 0.875
Bi 0.000 0.000 0.000
Bi 0.875 0.250 0.625
Ga 0.571 0.337 0.919
Ga 0.081 0.163 0.429
Ga 0.663 0.429 0.581
Bi 0.750 0.625 0.375
Sb 0.875 0.750 0.125
Sb 0.375 0.750 0.625
Sb 0.625 0.375 0.750
Ga 0.266 0.418 0.837
Ga 0.071 0.652 0.734
Ga 0.163 0.081 0.929
Ga 0.837 0.919 0.071
Ga 0.734 0.152 0.071
Bi 0.125 0.750 0.375
Ga 0.571 0.234 0.152
Sb 0.375 0.625 0.250
Ga 0.582 0.848 0.419
Ga 0.919 0.082 0.848
Ga 0.163 0.082 0.734
Bi 0.750 0.125 0.875
Bi 0.875 0.625 0.750
Ga 0.837 0.918 0.266
Ga 0.082 0.163 0.234
Sb 0.875 0.125 0.250
Ga 0.652 0.071 0.234
Ga 0.766 0.429 0.348
Bi 0.500 0.500 0.000
Ga 0.918 0.837 0.766
Bi 0.500 0.000 0.000
Ga 0.652 0.581 0.918
Bi 0.250 0.875 0.125
Ga 0.337 0.766 0.418
Sb 0.125 0.875 0.750
Bi 0.375 0.125 0.750
Ga 0.429 0.663 0.081
Ga 0.919 0.837 0.571
Ga 0.418 0.152 0.581
Bi 0.625 0.750 0.875
Sb 0.750 0.875 0.625
Ga 0.766 0.337 0.918
Sb 0.125 0.250 0.875
Bi 0.000 0.500 0.000
Ga 0.081 0.918 0.152
Ga 0.152 0.734 0.571
Ga 0.734 0.582 0.163
Ga 0.582 0.734 0.663
Ga 0.848 0.266 0.429
Ga 0.152 0.418 0.081
Ga 0.918 0.081 0.652
Bi 0.375 0.250 0.125
Sb 0.250 0.125 0.375
Sb 0.625 0.250 0.375
Ga 0.929 0.348 0.266
Ga 0.234 0.663 0.082
Ga 0.348 0.929 0.766
Ga 0.581 0.652 0.418
Ga 0.929 0.581 0.163
Bi 0.500 0.500 0.500

Computed properties:
The value obtained for the formation energy from raw total energies is 155.3 meV/atom. The value obtained for the density is 6.25 Mg/m³.

---

Compound: MgBW3
Source: Alexandria via LeMat-Bulk
Functional: GGA-PBE
Structure: relaxed

Cell: 4.504 4.504 4.504 Å, 90.00 90.00 90.00°
Last column: magnetic moment on the atom in μB.
Fractional coordinates of all 5 atoms:
W 0.000 0.500 0.000  0.21
Mg 0.000 0.000 0.000  0.02
B 0.500 0.500 0.500  -0.02
W 0.500 0.000 0.000  0.22
W 0.000 0.000 0.500  0.15

Computed properties:
For the energy relative to the lowest polymorph listed for this composition, the calculation gives 2930 meV per atom. The value obtained for the density is 10.66 Mg/m³. Its formation enthalpy at 0 K is 3.383 eV per atom.

---

Compound: CaGdTmSc
Source: Alexandria via LeMat-Bulk
Functional: GGA-PBE
Structure: relaxed

Cell: 5.600 5.600 5.600 Å, 60.00 60.00 60.00°
Last column: magnetic moment on the atom in μB.
Fractional coordinates of all 4 atoms:
Tm 0.250 0.250 0.250  0.03
Ca 0.500 0.500 0.500  0.00
Gd 0.750 0.750 0.750  -7.14
Sc 0.000 0.000 0.000  0.04

Computed properties:
The value obtained for the density is 5.50 Mg/m³. Its formation enthalpy at 0 K is 0.176 eV per atom.

---

Compound: Al2TlGa
Source: Alexandria via LeMat-Bulk
Functional: GGA-PBE
Structure: relaxed

Cell: 3.168 3.168 10.061 Å, 80.94 80.94 60.00°
Fractional coordinates of all 4 atoms:
Ga 0.500 0.500 0.500
Al 0.903 0.903 0.291
Al 0.097 0.097 0.709
Tl 0.000 0.000 0.000

Computed properties:
For the energy relative to the lowest polymorph listed for this composition, the calculation gives 6 meV per atom. The value obtained for the density is 6.34 Mg/m³. Its formation enthalpy at 0 K is 0.209 eV per atom.

---

Compound: La2SiOsN
Source: Alexandria via LeMat-Bulk
Functional: GGA-PBE
Structure: relaxed

Cell: 4.072 4.072 12.532 Å, 90.00 90.00 90.00°
Fractional coordinates of all 10 atoms:
La 0.500 0.000 0.907
Os 0.500 0.500 0.500
Si 0.500 0.000 0.605
La 0.500 0.000 0.299
La 0.000 0.500 0.093
Si 0.000 0.500 0.395
Os 0.000 0.000 0.500
N 0.000 0.500 0.910
N 0.500 0.000 0.090
La 0.000 0.500 0.701

Computed properties:
The value obtained for the formation energy from raw total energies is -842.7 meV/atom. The value obtained for the density is 8.15 Mg/m³.

---

Compound: BeFe2Cl
Source: Alexandria via LeMat-Bulk
Functional: GGA-PBE
Structure: relaxed

Cell: 5.976 5.976 3.088 Å, 89.94 89.94 30.43°
Last column: magnetic moment on the atom in μB.
Fractional coordinates of all 4 atoms:
Fe 0.996 0.996 0.125  2.32
Be 0.471 0.471 0.625  -0.14
Fe 0.829 0.829 0.626  2.91
Cl 0.204 0.204 0.125  0.08

Computed properties:
The value obtained for the formation energy from raw total energies is 200.5 meV/atom. For the energy relative to the lowest polymorph listed for this composition, the calculation gives 117 meV per atom. The value obtained for the density is 4.64 Mg/m³.

---

Compound: Ba3LaNd2Se6
Source: Alexandria via LeMat-Bulk
Functional: GGA-PBE
Structure: relaxed

Cell: 7.647 7.647 7.876 Å, 99.33 99.33 119.95°
Fractional coordinates of all 12 atoms:
Nd 0.666 0.334 0.000
Se 0.075 0.410 0.224
Ba 0.166 0.834 0.500
Nd 0.334 0.666 0.000
Se 0.925 0.590 0.776
Se 0.739 0.739 0.223
Se 0.410 0.075 0.224
Se 0.261 0.261 0.777
Se 0.590 0.925 0.776
Ba 0.834 0.166 0.500
Ba 0.500 0.500 0.500
La 0.000 0.000 0.000

Computed properties:
The value obtained for the formation energy from raw total energies is -1941.7 meV/atom. The value obtained for the density is 5.78 Mg/m³.

---

Compound: Sr2AgAu2
Source: Alexandria via LeMat-Bulk
Functional: GGA-PBE
Structure: relaxed

Cell: 8.634 8.634 4.013 Å, 90.00 90.00 90.00°
Fractional coordinates of all 10 atoms:
Au 0.123 0.623 0.500
Ag 0.500 0.500 0.000
Au 0.877 0.377 0.500
Sr 0.170 0.330 0.000
Ag 0.000 0.000 0.000
Sr 0.830 0.670 0.000
Sr 0.670 0.170 0.000
Au 0.623 0.877 0.500
Sr 0.330 0.830 0.000
Au 0.377 0.123 0.500

Computed properties:
For the energy relative to the lowest polymorph listed for this composition, the calculation gives 199 meV per atom. The value obtained for the density is 7.52 Mg/m³. Its formation enthalpy at 0 K is -0.424 eV per atom.

---

Compound: BaCoMo2S8
Source: Alexandria via LeMat-Bulk
Functional: GGA-PBE
Structure: relaxed

Cell: 6.014 6.014 9.452 Å, 71.45 71.45 60.00°
Last column: magnetic moment on the atom in μB.
Fractional coordinates of all 12 atoms:
S 0.263 0.941 0.155  0.01
S 0.828 0.828 0.517  0.00
Ba 0.500 0.500 0.500  0.00
Co 0.000 0.000 0.000  0.66
S 0.172 0.172 0.483  0.00
Mo 0.256 0.256 0.232  0.09
S 0.059 0.359 0.845  0.01
S 0.641 0.263 0.155  0.01
S 0.737 0.059 0.845  0.01
Mo 0.744 0.744 0.768  0.09
S 0.941 0.641 0.155  0.01
S 0.359 0.737 0.845  0.01

Computed properties:
The value obtained for the formation energy from raw total energies is -613.7 meV/atom. The value obtained for the density is 3.89 Mg/m³.

---

Compound: BaUP2
Source: Alexandria via LeMat-Bulk
Functional: GGA-PBE
Structure: relaxed

Cell: 4.174 4.174 7.668 Å, 74.21 74.21 60.00°
Last column: magnetic moment on the atom in μB.
Fractional coordinates of all 4 atoms:
Ba 0.500 0.500 0.500  0.03
U 0.000 0.000 0.000  1.84
P 0.268 0.268 0.196  -0.07
P 0.732 0.732 0.804  -0.07

Computed properties:
For the energy relative to the lowest polymorph listed for this composition, the calculation gives 0 meV per atom. The value obtained for the density is 6.61 Mg/m³. Its formation enthalpy at 0 K is -0.948 eV per atom.

---

Compound: TiBeGa3
Source: Alexandria via LeMat-Bulk
Functional: GGA-PBE
Structure: relaxed

Cell: 4.374 4.374 4.374 Å, 90.00 90.00 90.00°
Fractional coordinates of all 5 atoms:
Ga 0.000 0.500 0.000
Ga 0.500 0.000 0.000
Ga 0.000 0.000 0.500
Ti 0.500 0.500 0.500
Be 0.000 0.000 0.000

Computed properties:
For the energy relative to the lowest polymorph listed for this composition, the calculation gives 0 meV per atom. The value obtained for the density is 5.28 Mg/m³. Its formation enthalpy at 0 K is 0.384 eV per atom.

---

Compound: LiReSn2
Source: Alexandria via LeMat-Bulk
Functional: GGA-PBE
Structure: relaxed

Cell: 4.359 4.359 9.629 Å, 76.92 76.92 90.00°
Last column: magnetic moment on the atom in μB.
Fractional coordinates of all 8 atoms:
Sn 0.126 0.625 0.250  0.01
Sn 0.624 0.125 0.250  0.01
Sn 0.875 0.874 0.750  0.00
Sn 0.375 0.376 0.750  0.01
Re 0.000 0.000 0.000  1.55
Li 0.500 0.500 0.000  0.00
Re 0.750 0.250 0.500  1.57
Li 0.250 0.750 0.500  0.00

Computed properties:
For the energy relative to the lowest polymorph listed for this composition, the calculation gives 502 meV per atom. The value obtained for the density is 8.25 Mg/m³. Its formation enthalpy at 0 K is 0.706 eV per atom.

---

Compound: Re2TeW
Source: Alexandria via LeMat-Bulk
Functional: GGA-PBE
Structure: relaxed

Cell: 5.156 5.156 5.156 Å, 135.52 135.52 64.73°
Fractional coordinates of all 4 atoms:
Re 0.250 0.750 0.500
Te 0.500 0.500 0.000
W 0.750 0.250 0.500
Re 0.000 0.000 0.000

Computed properties:
The value obtained for the formation energy from raw total energies is 845.0 meV/atom. The value obtained for the density is 17.12 Mg/m³.

---

Compound: Ag2SnHg
Source: Alexandria via LeMat-Bulk
Functional: GGA-PBE
Structure: relaxed

Cell: 4.391 4.391 4.391 Å, 90.00 90.00 90.00°
Fractional coordinates of all 4 atoms:
Hg 0.500 0.000 0.000
Ag 0.000 0.500 0.000
Sn 0.500 0.500 0.500
Ag 0.000 0.000 0.500

Computed properties:
For the energy relative to the lowest polymorph listed for this composition, the calculation gives 23 meV per atom. The value obtained for the density is 10.49 Mg/m³. Its formation enthalpy at 0 K is 0.079 eV per atom.

---

Compound: Sn2SbF6
Source: Alexandria via LeMat-Bulk
Functional: GGA-PBE
Structure: relaxed

Cell: 5.663 8.131 8.131 Å, 92.53 83.18 83.18°
Fractional coordinates of all 18 atoms:
F 0.460 0.349 0.297
F 0.509 0.333 0.925
Sn 0.750 0.382 0.125
Sn 0.250 0.618 0.875
F 0.177 0.897 0.905
F 0.323 0.095 0.103
F 0.040 0.703 0.651
F 0.491 0.667 0.075
F 0.677 0.905 0.897
F 0.540 0.651 0.703
F 0.823 0.103 0.095
Sn 0.250 0.125 0.382
F 0.009 0.925 0.333
F 0.991 0.075 0.667
Sn 0.750 0.875 0.618
Sb 0.250 0.138 0.862
F 0.960 0.297 0.349
Sb 0.750 0.862 0.138

Computed properties:
The value obtained for the formation energy from raw total energies is -2046.0 meV/atom. The value obtained for the density is 4.26 Mg/m³.

---

Compound: CaRe2Rh
Source: Alexandria via LeMat-Bulk
Functional: GGA-PBE
Structure: relaxed

Cell: 6.047 6.047 4.581 Å, 67.85 67.85 26.53°
Fractional coordinates of all 4 atoms:
Ca 0.250 0.250 0.250
Rh 0.750 0.750 0.750
Re 0.464 0.464 0.536
Re 0.036 0.036 0.964

Computed properties:
For the energy relative to the lowest polymorph listed for this composition, the calculation gives 1 meV per atom. The value obtained for the density is 12.41 Mg/m³. Its formation enthalpy at 0 K is 0.227 eV per atom.

---

Compound: Al3Sb5
Source: Alexandria via LeMat-Bulk
Functional: GGA-PBE
Structure: relaxed

Cell: 8.696 9.789 9.260 Å, 104.89 98.14 137.29°
Fractional coordinates of all 16 atoms:
Al 0.317 0.232 0.055
Sb 0.522 0.842 0.147
Al 0.700 0.963 0.514
Sb 0.150 0.626 0.413
Sb 0.716 0.682 0.357
Sb 0.820 0.678 0.667
Al 0.787 0.219 0.085
Sb 0.850 0.374 0.587
Al 0.682 0.768 0.945
Sb 0.283 0.318 0.643
Sb 0.077 0.882 0.126
Sb 0.179 0.322 0.333
Sb 0.477 0.158 0.853
Al 0.212 0.781 0.915
Sb 0.923 0.118 0.874
Al 0.299 0.037 0.486

Computed properties:
The value obtained for the formation energy from raw total energies is 104.6 meV/atom. For the energy relative to the lowest polymorph listed for this composition, the calculation gives 0 meV per atom. The value obtained for the density is 5.13 Mg/m³.

---

Compound: LiUAg2I6
Source: Alexandria via LeMat-Bulk
Functional: GGA-PBE
Structure: relaxed

Cell: 8.529 10.445 10.445 Å, 71.76 71.61 71.61°
Last column: magnetic moment on the atom in μB.
Fractional coordinates of all 20 atoms:
I 0.912 0.279 0.953  -0.01
I 0.398 0.318 0.941  -0.02
Ag 0.689 0.169 0.430  0.00
U 0.250 0.287 0.713  2.91
I 0.118 0.616 0.639  -0.01
Li 0.750 0.174 0.826  0.00
Ag 0.811 0.570 0.831  0.00
Ag 0.311 0.831 0.570  0.00
Ag 0.189 0.430 0.169  0.00
U 0.750 0.713 0.287  2.91
I 0.412 0.953 0.279  -0.01
I 0.088 0.721 0.047  -0.01
I 0.898 0.941 0.318  -0.02
Li 0.250 0.826 0.174  0.00
I 0.382 0.361 0.384  -0.01
I 0.882 0.384 0.361  -0.01
I 0.588 0.047 0.721  -0.01
I 0.602 0.682 0.059  -0.02
I 0.102 0.059 0.682  -0.02
I 0.618 0.639 0.616  -0.01

Computed properties:
The value obtained for the formation energy from raw total energies is -586.8 meV/atom. The value obtained for the density is 4.99 Mg/m³.